This record from OQMD describes an optimized crystal structure of KErNO. The functional is PBE.

a = 3.6321 Å, b = 7.3499 Å, c = 6.3322 Å
α = 90.00°, β = 90.00°, γ = 90.00°
Element x y z (fractional)
K 0.0000 0.1562 0.0000
K 0.0000 0.8438 0.5000
Er 0.5000 0.3390 0.4921
Er 0.5000 0.6610 0.9921
N 0.5000 0.3924 0.8365
N 0.5000 0.6076 0.3365
O 0.0000 0.1970 0.4225
O 0.0000 0.8030 0.9225

Distance to the lowest polymorph of the same formula   0.005 eV/atom

=====

This record from OQMD describes an optimized crystal structure of KErNO. The functional is PBE.

a = 3.6285 Å, b = 3.6285 Å, c = 4.5988 Å
α = 90.00°, β = 90.00°, γ = 90.00°
Element x y z (fractional)
K 0.0000 0.0000 0.0000
Er 0.5000 0.5000 0.5000
N 0.0000 0.0000 0.5000
O 0.5000 0.5000 0.0000

Distance to the lowest polymorph of the same formula   0.243 eV/atom

=====

This record from OQMD describes an optimized crystal structure of KErNO. The functional is PBE.

a = 3.8746 Å, b = 3.8746 Å, c = 8.6916 Å
α = 90.00°, β = 90.00°, γ = 90.00°
Element x y z (fractional)
K 0.2500 0.7500 0.0000
K 0.7500 0.2500 0.0000
Er 0.2500 0.2500 0.3773
Er 0.7500 0.7500 0.6227
N 0.2500 0.2500 0.7891
N 0.7500 0.7500 0.2109
O 0.2500 0.7500 0.5000
O 0.7500 0.2500 0.5000

Distance to the lowest polymorph of the same formula   0.409 eV/atom

=====

This record from OQMD describes an optimized crystal structure of KErNO. The functional is PBE.

a = 3.9003 Å, b = 7.1770 Å, c = 6.1739 Å
α = 90.00°, β = 90.00°, γ = 90.00°
Element x y z (fractional)
K 0.0000 0.1712 0.0000
K 0.0000 0.8288 0.5000
Er 0.5000 0.3500 0.5274
Er 0.5000 0.6500 0.0274
N 0.0000 0.2080 0.4544
N 0.0000 0.7920 0.9544
O 0.5000 0.3938 0.8652
O 0.5000 0.6062 0.3652

Distance to the lowest polymorph of the same formula   0.000 eV/atom

=====

This record from OQMD describes an optimized crystal structure of KErNb. The functional is PBE.

a = 5.4638 Å, b = 5.4638 Å, c = 5.4638 Å
α = 60.00°, β = 60.00°, γ = 60.00°
Element x y z (fractional)
K 0.0000 0.0000 0.0000
Er 0.5000 0.5000 0.5000
Nb 0.7500 0.7500 0.7500

Distance to the lowest polymorph of the same formula   0.000 eV/atom

=====

This record from OQMD describes an optimized crystal structure of KNdEr. The functional is PBE.

a = 5.8856 Å, b = 5.8856 Å, c = 5.8856 Å
α = 60.00°, β = 60.00°, γ = 60.00°
Element x y z (fractional)
K 0.0000 0.0000 0.0000
Nd 0.5000 0.5000 0.5000
Er 0.2500 0.2500 0.2500

Distance to the lowest polymorph of the same formula   0.000 eV/atom

=====

> Which formula does entry 3 have?

KErNO

=====

> What is the distance to the lowest polymorph of the same formula in the first record?

0.005 eV/atom